1.
A plane-wave DFT calculation with PBE-GGA was carried out for a geometry-optimized MnSiBr structure.

Cell: 4.412 4.412 4.412 Å, 60.00 60.00 60.00°
Sites, in units of the cell vectors:
Mn 0.000 0.000 0.000
Si 0.250 0.250 0.250
Br 0.750 0.750 0.750

Values from the calculation:
For the relative energy among the computed polymorphs, the calculation gives 0.433 eV per atom. The density of states at the Fermi level comes out at 2.144 states/eV/f.u. The calculation puts the uncorrected formation energy at 0.53 eV per atom. The calculation puts the total energy at -4.8913 eV per atom.


2.
A plane-wave DFT calculation with PBE-GGA was carried out for a geometry-optimized PtSe2Cl structure.

Cell: 4.980 4.980 2.957 Å, 90.00 90.00 90.00°
Sites, in units of the cell vectors:
Pt 0.000 0.000 0.000
Se 0.000 0.500 0.500
Se 0.500 0.000 0.500
Cl 0.500 0.500 0.000

Values from the calculation:
For the relative energy among the computed polymorphs, the calculation gives 0.872 eV per atom. The density of states at the Fermi level comes out at 3.587 states/eV/f.u. The calculation puts the uncorrected formation energy at 0.53 eV per atom. The calculation puts the total energy at -3.1866 eV per atom.


3.
A plane-wave DFT calculation with PBE-GGA was carried out for a geometry-optimized TbMgTlRu structure.

Cell: 4.921 4.921 4.921 Å, 60.00 60.00 60.00°
Sites, in units of the cell vectors:
Tb 0.000 0.000 0.000
Mg 0.500 0.500 0.500
Tl 0.250 0.250 0.250
Ru 0.750 0.750 0.750

Values from the calculation:
The density of states at the Fermi level comes out at 3.212 states/eV/f.u. The calculation puts the total energy at -4.4929 eV per atom. As for the calculated formation energy: -0.026 eV/atom.


4.
A plane-wave DFT calculation with PBE-GGA was carried out for a geometry-optimized Li5Ti3Bi12 structure.

Cell: 14.694 14.694 14.694 Å, 109.47 109.47 109.47°
Sites, in units of the cell vectors:
Li 0.000 0.000 0.000
Li 0.000 0.000 0.500
Li 0.000 0.500 0.000
Li 0.000 0.500 0.500
Li 0.125 0.750 0.875
Li 0.125 0.875 0.250
Li 0.250 0.125 0.875
Li 0.250 0.625 0.375
Li 0.375 0.250 0.625
Li 0.375 0.625 0.750
Li 0.500 0.000 0.000
Li 0.500 0.000 0.500
Li 0.500 0.500 0.000
Li 0.500 0.500 0.500
Li 0.625 0.375 0.250
Li 0.625 0.750 0.375
Li 0.750 0.375 0.625
Li 0.750 0.875 0.125
Li 0.875 0.125 0.750
Li 0.875 0.250 0.125
Ti 0.125 0.250 0.375
Ti 0.125 0.375 0.750
Ti 0.250 0.375 0.125
Ti 0.250 0.875 0.625
Ti 0.375 0.125 0.250
Ti 0.375 0.750 0.125
Ti 0.625 0.250 0.875
Ti 0.625 0.875 0.750
Ti 0.750 0.125 0.375
Ti 0.750 0.625 0.875
Ti 0.875 0.625 0.250
Ti 0.875 0.750 0.625
Bi 0.067 0.241 0.139
Bi 0.067 0.327 0.928
Bi 0.072 0.639 0.398
Bi 0.072 0.933 0.673
Bi 0.102 0.741 0.673
Bi 0.102 0.861 0.428
Bi 0.139 0.067 0.241
Bi 0.139 0.572 0.898
Bi 0.173 0.241 0.602
Bi 0.173 0.433 0.572
Bi 0.241 0.139 0.067
Bi 0.241 0.602 0.173
Bi 0.259 0.327 0.898
Bi 0.259 0.433 0.361
Bi 0.327 0.898 0.259
Bi 0.327 0.928 0.067
Bi 0.361 0.259 0.433
Bi 0.361 0.602 0.928
Bi 0.398 0.072 0.639
Bi 0.398 0.827 0.759
Bi 0.428 0.102 0.861
Bi 0.428 0.827 0.567
Bi 0.433 0.361 0.259
Bi 0.433 0.572 0.173
Bi 0.567 0.428 0.827
Bi 0.567 0.639 0.741
Bi 0.572 0.173 0.433
Bi 0.572 0.898 0.139
Bi 0.602 0.173 0.241
Bi 0.602 0.928 0.361
Bi 0.639 0.398 0.072
Bi 0.639 0.741 0.567
Bi 0.673 0.072 0.933
Bi 0.673 0.102 0.741
Bi 0.741 0.567 0.639
Bi 0.741 0.673 0.102
Bi 0.759 0.398 0.827
Bi 0.759 0.861 0.933
Bi 0.827 0.567 0.428
Bi 0.827 0.759 0.398
Bi 0.861 0.428 0.102
Bi 0.861 0.933 0.759
Bi 0.898 0.139 0.572
Bi 0.898 0.259 0.327
Bi 0.928 0.067 0.327
Bi 0.928 0.361 0.602
Bi 0.933 0.673 0.072
Bi 0.933 0.759 0.861

Values from the calculation:
The density of states at the Fermi level comes out at 11.121 states/eV/f.u. The calculation puts the total energy at -4.0037 eV per atom. As for the calculated formation energy: -0.012 eV/atom.


5.
A plane-wave DFT calculation with PBE-GGA was carried out for a geometry-optimized CdOs2PbS structure.

Cell: 4.988 4.988 5.641 Å, 90.00 90.00 90.00°
Sites, in units of the cell vectors:
Cd 0.000 0.000 0.000
Os 0.000 0.500 0.000
Os 0.500 0.000 0.000
Pb 0.000 0.000 0.500
S 0.500 0.500 0.500

Values from the calculation:
The density of states at the Fermi level comes out at 6.687 states/eV/f.u. The calculation puts the uncorrected formation energy at 2.48 eV per atom. The calculation puts the total energy at -3.7636 eV per atom.


6.
A plane-wave DFT calculation with PBE-GGA was carried out for a geometry-optimized In3AsPt structure.

Cell: 5.272 5.272 5.272 Å, 90.00 90.00 90.00°
Sites, in units of the cell vectors:
In 0.000 0.000 0.500
In 0.000 0.500 0.000
In 0.500 0.000 0.000
As 0.000 0.000 0.000
Pt 0.500 0.500 0.500

Values from the calculation:
For the relative energy among the computed polymorphs, the calculation gives 0.595 eV per atom. The density of states at the Fermi level comes out at 2.451 states/eV/f.u. The calculation puts the total energy at -3.1548 eV per atom. As for the calculated formation energy: 0.626 eV/atom.


7.
A plane-wave DFT calculation with PBE-GGA was carried out for a geometry-optimized Zr2AlNi4 structure.

Cell: 3.110 20.889 3.141 Å, 90.00 90.08 90.00°
Sites, in units of the cell vectors:
Zr 0.249 0.000 0.249
Zr 0.250 0.162 0.250
Zr 0.750 0.662 0.750
Zr 0.751 0.500 0.751
Al 0.251 0.308 0.251
Al 0.749 0.808 0.749
Ni 0.249 0.741 0.249
Ni 0.249 0.867 0.249
Ni 0.251 0.429 0.251
Ni 0.251 0.578 0.251
Ni 0.749 0.078 0.749
Ni 0.749 0.929 0.749
Ni 0.751 0.241 0.751
Ni 0.751 0.367 0.751

Values from the calculation:
For the relative energy among the computed polymorphs, the calculation gives 0.124 eV per atom. The density of states at the Fermi level comes out at 5.163 states/eV/f.u. The calculation puts the total energy at -6.6592 eV per atom. As for the calculated formation energy: -0.379 eV/atom.


8.
A plane-wave DFT calculation with PBE-GGA was carried out for a geometry-optimized AcCdP2 structure.

Cell: 5.079 5.079 5.079 Å, 60.00 60.00 60.00°
Sites, in units of the cell vectors:
Ac 0.000 0.000 0.000
Cd 0.500 0.500 0.500
P 0.250 0.250 0.250
P 0.750 0.750 0.750

Values from the calculation:
For the relative energy among the computed polymorphs, the calculation gives 0.106 eV per atom. The density of states at the Fermi level comes out at 3.220 states/eV/f.u. The calculation puts the total energy at -4.3613 eV per atom. As for the calculated formation energy: -0.401 eV/atom.